VASP calculation (PBE) on a relaxed YHfTe2 crystal. Values from VASP.

Results
- polymorph energy (0 for the lowest one) (meV/atom) = 459
- E_form (uncorrected) (eV/atom) = -0.334
- space group = I-42d (122)
- magnetization (μB/cell) = 0.2

Geometry as Quantum ESPRESSO input:
```
&SYSTEM
  ibrav = 0, nat = 8, ntyp = 3
/
ATOMIC_SPECIES
Te 127.60 Te.upf
Hf 178.49 Hf.upf
Y 88.91 Y.upf
ATOMIC_POSITIONS crystal
Te 0.6500 0.1250 0.2500
Te 0.3750 0.3500 0.7500
Te 0.1000 0.6250 0.2500
Te 0.8750 0.9000 0.7500
Hf 0.0000 0.0000 0.0000
Hf 0.7500 0.2500 0.5000
Y 0.5000 0.5000 0.0000
Y 0.2500 0.7500 0.5000
CELL_PARAMETERS angstrom
-4.7367 -1.2660 -4.4503
-3.5485 -3.0932 4.6567
-7.1423 3.5951 1.6532
```

=====

VASP calculation (PBE) on a relaxed Y2Hf2Te crystal. Values from VASP.

Results
- polymorph energy (0 for the lowest one) (meV/atom) = 0
- E_form (uncorrected) (eV/atom) = -0.044
- space group = I4/mmm (139)
- magnetization (μB/cell) = 0.0

Geometry as Quantum ESPRESSO input:
```
&SYSTEM
  ibrav = 0, nat = 5, ntyp = 3
/
ATOMIC_SPECIES
Hf 178.49 Hf.upf
Y 88.91 Y.upf
Te 127.60 Te.upf
ATOMIC_POSITIONS crystal
Hf 0.7500 0.2500 0.5000
Hf 0.2500 0.7500 0.5000
Y 0.3988 0.3988 0.2024
Y 0.6012 0.6012 0.7976
Te 0.0000 0.0000 0.0000
CELL_PARAMETERS angstrom
-3.0678 1.1092 -2.1845
1.7669 -1.4233 -3.2040
-4.6902 -8.4567 -1.2353
```